Record 1
DFT (GGA-PBE) results for a geometry-optimized AlNi3H3 structure.

Lattice parameters (Å, degrees): 4.7017 4.7017 18.9712 90.00 90.00 120.00
With the nearest neighbours (Å) after each atom.
Space group R-3 (No. 148, hexagonal axes)
Asymmetric unit:
Al: 0.0000 0.0000 0.1667 [6 per cell]  6 Ni 2.48-2.49, 3 Al 2.71
Ni: 0.0004 0.3478 0.3970 [18 per cell]  3 H 1.65-1.66
H: 0.0011 0.3198 0.6302 [18 per cell]  3 Ni 1.65-1.66

***

Record 2
DFT (GGA-PBE) results for a geometry-optimized Li2PrY2Mg5 structure.

Computed properties:
Energy relative to the elements (eV/atom): -0.033

Lattice parameters (Å, degrees): 10.6770 10.6770 4.4423 90.00 90.00 90.00
With the nearest neighbours (Å) after each atom.
Space group P4/mbm (No. 127)
Asymmetric unit:
Li: 0.1133 0.3867 0.0000 [4 per cell]  6 Mg 2.80-2.91, 1 Y 3.12
Pr: 0.0000 0.0000 0.0000 [2 per cell]  8 Mg 3.29
Y: 0.1802 0.6802 0.0000 [4 per cell]  3 Li 3.12-3.21
Mg: 0.0000 0.5000 0.5000 [2 per cell]  4 Li 2.80, 4 Mg 3.09
Mg: 0.0628 0.2178 0.5000 [8 per cell]  2 Li 2.91, 1 Mg 3.09

***

Record 3
DFT (GGA-PBE) results for a geometry-optimized Si3BP structure.

Computed properties:
Formation energy (no corrections) (eV per atom): 1.59

Lattice parameters (Å, degrees): 4.4695 4.4695 4.4695 90.00 90.00 90.00
With the nearest neighbours (Å) after each atom.
Space group Pm-3m (No. 221)
Asymmetric unit:
Si: 0.0000 0.0000 0.5000 [3 per cell]  2 P 2.23
B: 0.5000 0.5000 0.5000 [1 per cell]  12 Si 3.16
P: 0.0000 0.0000 0.0000 [1 per cell]  6 Si 2.23

***

Record 4
DFT (GGA-PBE) results for a geometry-optimized Al2NiBr structure.

Computed properties:
Formation energy (no corrections) (eV per atom): 0.54

Lattice parameters (Å, degrees): 6.6383 6.6383 6.6383 90.00 90.00 90.00
With the nearest neighbours (Å) after each atom.
Space group F-43m (No. 216)
Asymmetric unit:
Al: 0.0000 0.0000 0.0000 [4 per cell]  4 Ni 2.87, 4 Al 2.87
Al: 0.2500 0.2500 0.2500 [4 per cell]  4 Br 2.87, 4 Al 2.87
Ni: 0.2500 0.2500 0.7500 [4 per cell]  4 Br 2.87, 4 Al 2.87
Br: 0.0000 0.0000 0.5000 [4 per cell]  4 Ni 2.87, 4 Al 2.87

***

For each record above, in turn, the calculated total energy values are -31.80; -29.84; -20.41; -12.79 eV per formula unit.